1.
PBE Rb3Tl8In3, optimized geometry; space-group type = Immm, No. 71
1.0
-1.6017 -4.8609 -1.6427
8.2091 -4.3885 -3.8123
3.5643 -6.4576 6.8394
Tl In Rb
8 3 3
Cartesian
5.5704 -9.2658 4.3989 Tl
4.4523 -4.1872 -0.7450 Tl
7.0498 -10.9272 -0.9216 Tl
3.1219 -4.7798 2.3059 Tl
5.7194 -11.5198 2.1293 Tl
1.9238 -7.6340 3.1257 Tl
4.6013 -6.4412 -3.0145 Tl
8.2479 -8.0730 -1.7414 Tl
4.3563 -6.1048 5.0230 In
7.4171 -4.7413 -1.9960 In
-0.8008 -2.4305 -0.8214 In
8.9821 -9.5970 2.0525 Rb
1.1896 -6.1100 -0.6682 Rb
5.0859 -7.8535 0.6922 Rb

2.
PBE Sm4Cu2Hg5, optimized geometry; space-group type = P2/m, No. 10
1.0
3.7967 0.0000 0.0000
0.0000 7.6245 0.1486
0.0000 -0.5477 9.4598
Sm Cu Hg
4 2 5
Cartesian
1.8983 6.1325 1.4978 Sm
1.8983 1.5615 4.0648 Sm
1.8983 0.9443 8.1105 Sm
1.8983 5.5153 5.5435 Sm
0.0000 6.9399 3.6914 Cu
0.0000 0.1368 5.9169 Cu
0.0000 1.1297 1.3747 Hg
0.0000 5.9470 8.2337 Hg
0.0000 4.1300 3.2360 Hg
0.0000 3.8122 0.0743 Hg
0.0000 2.9467 6.3723 Hg

3.
PBE Pr2DyPt2, optimized geometry; space-group type = Immm, No. 71
1.0
3.8726 0.0000 1.1423
1.4355 5.6302 2.2687
0.2675 0.1975 6.2287
Pr Pt Dy
2 2 1
Cartesian
1.2692 1.7918 2.8326 Pr
4.3064 4.0359 6.8071 Pr
3.0333 4.0559 3.9874 Pt
2.5423 1.7718 5.6523 Pt
0.0000 0.0000 0.0000 Dy

4.
PBE Tb3TlCd5, optimized geometry; space-group type = P6_3/mcm, No. 193
1.0
-4.4645 3.2695 3.1683
-6.4264 -4.0727 -4.8525
2.8109 -3.6714 7.7495
Cd Tb Tl
10 6 2
Cartesian
-2.3834 -1.8969 1.8074 Cd
0.7095 -1.5673 5.8255 Cd
-3.3473 -3.9392 -0.6516 Cd
-5.6966 -2.5777 4.2579 Cd
-0.2682 -3.8049 3.5486 Cd
-2.5004 -2.1701 5.1328 Cd
-5.2904 -1.8281 -2.3599 Cd
-5.6005 1.0249 0.6757 Cd
-5.5795 -2.3045 0.9326 Cd
-8.7895 -2.9073 0.2399 Cd
-7.7181 -0.3172 -0.9233 Tb
-4.5052 -0.0260 3.3035 Tb
-3.1728 -0.4860 -0.7609 Tb
-7.8632 -4.1170 2.7934 Tb
-3.5747 -4.4486 2.7619 Tb
-0.2167 -0.3576 3.2720 Tb
0.0000 0.0000 0.0000 Tl
-2.2322 1.6348 1.5842 Tl

5.
PBE RbScSn2, optimized geometry; polymorph energy (0 for the lowest one) = 381 meV/atom; space-group type = I-42d, No. 122
1.0
6.0115 0.0000 0.0000
0.0000 6.0115 0.0000
3.0058 3.0058 9.7702
Sc Sn Rb
2 4 2
Cartesian
3.0058 6.0115 4.8851 Sc
3.0058 3.0058 0.0000 Sc
3.3118 1.5029 2.4426 Sn
7.5144 6.3176 7.3277 Sn
2.6997 4.5086 2.4426 Sn
4.5086 5.7054 7.3277 Sn
0.0000 0.0000 0.0000 Rb
6.0115 3.0058 4.8851 Rb

6.
PBE GaCoRe2, optimized geometry; space-group type = R-3m, No. 166
1.0
-2.6376 0.6768 0.0154
-1.7175 -1.2540 1.7009
0.2407 6.2559 7.0349
Re Co Ga
2 1 1
Cartesian
-3.9174 1.0904 3.3877 Re
-0.1970 4.5883 5.3635 Re
0.0000 0.0000 0.0000 Co
-2.0572 2.8393 4.3756 Ga

Number 1: calculated total energy -30.833 eV per cell. Number 2: calculated total energy -32.490 eV per cell. Number 3: calculated total energy -30.881 eV per cell. Number 4: calculated total energy -46.583 eV per cell. Number 5: calculated total energy -30.378 eV per cell. Number 6: calculated total energy -32.496 eV per cell.